[1]
A PBEsol-optimized structure of V5S4. Source: the Alexandria database, functional meta-GGA SCAN.

Output
Its uncorrected formation energy is -1.0275 eV per atom.

Structure (POSCAR):
```
V5S4
1.0
3.1154 0.0000 0.0000
1.5577 6.2613 0.0000
1.5577 0.0000 6.2613
S V
4 5
direct
0.9379 0.7893 0.3348
0.7273 0.3348 0.2107
0.2727 0.6652 0.7893
0.0621 0.2107 0.6652
0.7006 0.9209 0.6779
0.2994 0.0791 0.3221
0.6215 0.6779 0.0791
0.0000 0.0000 0.0000
0.3785 0.3221 0.9209
```

=====

[2]
A PBEsol-optimized structure of TlAsSe2Br. Source: the Alexandria database, functional meta-GGA SCAN.

Output
Its uncorrected formation energy is 0.8785 eV per atom.

Structure (POSCAR):
```
TlAsSe2Br
1.0
5.1793 0.0000 0.0000
0.0000 5.1793 0.0000
0.0000 0.0000 5.5267
Br Se Tl As
1 2 1 1
direct
0.5000 0.5000 0.5000
0.5000 0.0000 0.0000
0.0000 0.5000 0.0000
0.0000 0.0000 0.0000
0.0000 0.0000 0.5000
```

=====

[3]
A PBEsol-optimized structure of BaLaAs. Source: the Alexandria database, functional meta-GGA SCAN.

Output
The energy of formation is -211 meV/atom.

Structure (POSCAR):
```
BaLaAs
1.0
-2.1989 2.0243 4.1882
-4.5858 -1.7152 1.5819
-0.3585 -2.7789 4.3154
La Ba As
1 1 1
direct
0.2500 0.2500 0.2500
0.5000 0.5000 0.5000
0.0000 0.0000 0.0000
```

=====

Per-record DOS at the Fermi energy, states/eV per cell: 5.42; 4.47; 4.88